## a
# MgAg5Au4 PBE relaxed
# Crystal system: triclinic
# Fermi-level density of states: 0.21 states/eV per atom
data_MgAg5Au4
_chemical_formula_sum 'Mg1 Ag5 Au4'
_space_group_name_H-M_alt 'P -1'
_space_group_IT_number 2
_cell_length_a 5.0549
_cell_length_b 5.9385
_cell_length_c 6.5315
_cell_angle_alpha 76.52
_cell_angle_beta 75.41
_cell_angle_gamma 72.94
loop_
_space_group_symop_operation_xyz
'x,y,z'
'-x,-y,-z'
loop_
_atom_site_label
_atom_site_type_symbol
_atom_site_fract_x
_atom_site_fract_y
_atom_site_fract_z
Mg1 Mg 0.0000 0.0000 0.0000
Ag1 Ag 0.0000 0.5000 0.0000
Ag2 Ag 0.2001 0.7992 0.5995
Ag3 Ag 0.4016 0.5985 0.1994
Au1 Au 0.1949 0.2970 0.6031
Au2 Au 0.4024 0.0986 0.1974

=====

## b
# MgAg5Au4 PBE relaxed
# Crystal system: orthorhombic
# Fermi-level density of states: 0.30 states/eV per atom
data_MgAg5Au4
_chemical_formula_sum 'Mg2 Ag10 Au8'
_space_group_name_H-M_alt 'P m m n'
_space_group_IT_number 59
_cell_length_a 8.5855
_cell_length_b 9.5724
_cell_length_c 4.9808
_cell_angle_alpha 90.00
_cell_angle_beta 90.00
_cell_angle_gamma 90.00
loop_
_space_group_symop_operation_xyz
'x,y,z'
'-x,-y,-z'
'-x+1/2,-y+1/2,z'
'x+1/2,y+1/2,-z'
'x+1/2,-y,-z'
'-x+1/2,y,z'
'-x,y+1/2,-z'
'x,-y+1/2,z'
loop_
_atom_site_label
_atom_site_type_symbol
_atom_site_fract_x
_atom_site_fract_y
_atom_site_fract_z
Mg1 Mg 0.2500 0.2500 0.0183
Ag1 Ag 0.0839 0.0041 0.7461
Ag2 Ag 0.2500 0.7500 0.5855
Au1 Au 0.0684 0.7500 0.0755
Au2 Au 0.2500 0.5064 0.2496

=====

Of them, the most stable is a and the least stable is b.

=====

## a
# MgAg2Au5 PBE relaxed
# Crystal system: tetragonal
# Fermi-level density of states: 0.29 states/eV per atom
data_MgAg2Au5
_chemical_formula_sum 'Mg4 Ag8 Au20'
_space_group_name_H-M_alt 'I 4/m c m'
_space_group_IT_number 140
_space_group_name_Hall '-I 4 2c'
_cell_length_a 7.2466
_cell_length_b 7.2466
_cell_length_c 11.3561
_cell_angle_alpha 90.00
_cell_angle_beta 90.00
_cell_angle_gamma 90.00
loop_
_atom_site_label
_atom_site_type_symbol
_atom_site_fract_x
_atom_site_fract_y
_atom_site_fract_z
Mg1 Mg 0.0000 0.0000 0.2500
Ag1 Ag 0.1444 0.3556 0.0000
Au1 Au 0.0000 0.0000 0.0000
Au2 Au 0.1510 0.3490 0.3333

=====

## b
# MgAg2Au5 PBE relaxed
# Crystal system: tetragonal
# Fermi-level density of states: 0.31 states/eV per atom
data_MgAg2Au5
_chemical_formula_sum 'Mg2 Ag4 Au10'
_space_group_name_H-M_alt 'I 4/m m m'
_space_group_IT_number 139
_space_group_name_Hall '-I 4 2'
_cell_length_a 4.1282
_cell_length_b 4.1282
_cell_length_c 16.7763
_cell_angle_alpha 90.00
_cell_angle_beta 90.00
_cell_angle_gamma 90.00
loop_
_atom_site_label
_atom_site_type_symbol
_atom_site_fract_x
_atom_site_fract_y
_atom_site_fract_z
Mg1 Mg 0.0000 0.0000 0.0000
Ag1 Ag 0.0000 0.0000 0.2520
Au1 Au 0.0000 0.0000 0.5000
Au2 Au 0.0000 0.5000 0.1232

=====

Of them, the most stable is b and the least stable is a.

=====

## a
# MgAg4Au3 PBE relaxed
# Crystal system: orthorhombic
# Fermi-level density of states: 0.30 states/eV per atom
data_MgAg4Au3
_chemical_formula_sum 'Mg2 Ag8 Au6'
_space_group_name_H-M_alt 'I m m m'
_space_group_IT_number 71
_space_group_name_Hall '-I 2 2'
_cell_length_a 4.0644
_cell_length_b 4.1610
_cell_length_c 16.8883
_cell_angle_alpha 90.00
_cell_angle_beta 90.00
_cell_angle_gamma 90.00
loop_
_atom_site_label
_atom_site_type_symbol
_atom_site_fract_x
_atom_site_fract_y
_atom_site_fract_z
Mg1 Mg 0.0000 0.0000 0.0000
Ag1 Ag 0.0000 0.0000 0.2515
Ag2 Ag 0.0000 0.5000 0.1253
Au1 Au 0.0000 0.0000 0.5000
Au2 Au 0.0000 0.5000 0.3771

=====

## b
# MgAg4Au3 PBE relaxed
# Crystal system: monoclinic
# Fermi-level density of states: 0.24 states/eV per atom
data_MgAg4Au3
_chemical_formula_sum 'Mg2 Ag8 Au6'
_space_group_name_H-M_alt 'C 1 2/m 1'
_space_group_IT_number 12
_cell_length_a 19.6850
_cell_length_b 3.0670
_cell_length_c 4.9144
_cell_angle_alpha 90.00
_cell_angle_beta 104.28
_cell_angle_gamma 90.00
loop_
_space_group_symop_operation_xyz
'x,y,z'
'-x,-y,-z'
'-x,y,-z'
'x,-y,z'
'x+1/2,y+1/2,z'
'-x+1/2,-y+1/2,-z'
'-x+1/2,y+1/2,-z'
'x+1/2,-y+1/2,z'
loop_
_atom_site_label
_atom_site_type_symbol
_atom_site_fract_x
_atom_site_fract_y
_atom_site_fract_z
Mg1 Mg 0.0000 0.0000 0.0000
Ag1 Ag 0.1245 0.0000 0.4805
Ag2 Ag 0.1241 0.5000 0.9812
Au1 Au 0.0000 0.5000 0.5000
Au2 Au 0.2497 0.0000 0.2497

=====

Of them, the most stable is a and the least stable is b.